1.
{"formula": "LaNbCr", "functional": "PBE-GGA", "state": "relaxed", "polymorph_energy_mev_per_atom": 88.4, "dos_at_fermi_per_ev_fu": 4.7, "magnetic_moment_mub_per_atom": 0.01, "lattice_angstrom": [[4.746, 0.000, 0.000], [0.000, 2.355, 5.871], [0.000, -2.355, 5.871]], "species": ["La", "La", "Nb", "Nb", "Cr", "Cr"], "fractional_positions": [[0.000, 0.000, 0.000], [0.500, 0.495, 0.495], [0.500, 0.190, 0.190], [0.500, 0.805, 0.805], [0.000, 0.287, 0.287], [0.000, 0.709, 0.709]]}



2.
{"formula": "LiPr2Zn6", "functional": "PBE-GGA", "state": "relaxed", "polymorph_energy_mev_per_atom": 0.0, "dos_at_fermi_per_ev_fu": 8.4, "magnetic_moment_mub_per_atom": 0.00, "lattice_angstrom": [[5.951, 0.000, 0.000], [-2.975, 5.154, 0.000], [0.000, 0.000, 5.868]], "species": ["Li", "Pr", "Pr", "Zn", "Zn", "Zn", "Zn", "Zn", "Zn"], "fractional_positions": [[0.000, 0.000, 0.000], [0.333, 0.667, 0.842], [0.667, 0.333, 0.158], [0.176, 0.351, 0.338], [0.176, 0.824, 0.338], [0.351, 0.176, 0.662], [0.649, 0.824, 0.338], [0.824, 0.176, 0.662], [0.824, 0.649, 0.662]]}



3.
{"formula": "TmTi2Co2", "functional": "PBE-GGA", "state": "relaxed", "dos_at_fermi_per_ev_fu": 4.0, "magnetic_moment_mub_per_atom": 0.00, "lattice_angstrom": [[-2.056, 2.056, 4.935], [2.056, -2.056, 4.935], [2.056, 2.056, -4.935]], "species": ["Tm", "Ti", "Ti", "Co", "Co"], "fractional_positions": [[0.000, 0.000, 0.000], [0.250, 0.750, 0.500], [0.750, 0.250, 0.500], [0.385, 0.385, 0.000], [0.615, 0.615, 0.000]]}



| no. | formation energy (meV/atom) |
| --- | --- |
| 1 | 455 |
| 2 | -236 |
| 3 | -326 |